[1]
Er2ScZn: optimized geometry, PBE.

Unit cell a=3.3428 b=3.3428 c=11.5528 alpha=81.68 beta=81.68 gamma=60.00
Last column: nearest neighbours and their distance in Å.
Atoms (fractional coordinates):
Zn 0.0000 0.0000 0.0000  2 Er 3.03, 6 Zn 3.34
Er 0.0888 0.0888 0.7337  1 Zn 3.03, 3 Sc 3.29, 6 Er 3.34
Er 0.9112 0.9112 0.2663  1 Zn 3.03, 3 Sc 3.29, 6 Er 3.34
Sc 0.5000 0.5000 0.5000  6 Er 3.29, 6 Sc 3.34

- ΔE_f (eV/atom) = 0.250
- theoretical density (g/cm³) = 6.70

[2]
NaAs2PBr: optimized geometry, PBE.

Unit cell a=5.1955 b=5.0308 c=5.1955 alpha=90.00 beta=90.00 gamma=90.00
Last column: nearest neighbours and their distance in Å.
Atoms (fractional coordinates):
Na 0.5000 0.5000 0.5000  8 As 3.62, 4 P 3.67
As 0.0000 0.0000 0.5000  2 Br 2.60
As 0.5000 0.0000 0.0000  2 Br 2.60
P 0.0000 0.5000 0.0000  2 Br 2.52
Br 0.0000 0.0000 0.0000  2 P 2.52, 4 As 2.60

- uncorrected formation energy (eV/atom) = 0.903
- theoretical density (g/cm³) = 3.47

[3]
Nd4PuHg5: optimized geometry, PBE.

Unit cell a=3.8333 b=3.8333 c=18.9906 alpha=90.00 beta=90.00 gamma=90.00
Last column: nearest neighbours and their distance in Å.
Atoms (fractional coordinates):
Nd 0.0000 0.0000 0.1977  8 Hg 3.30-3.32
Nd 0.0000 0.0000 0.8023  8 Hg 3.30-3.32
Nd 0.0000 0.0000 0.6009  8 Hg 3.32
Nd 0.0000 0.0000 0.3991  8 Hg 3.32
Hg 0.5000 0.5000 0.5000  8 Nd 3.32
Hg 0.5000 0.5000 0.7014  8 Nd 3.32
Hg 0.5000 0.5000 0.9016  4 Pu 3.29, 4 Nd 3.30
Hg 0.5000 0.5000 0.0984  4 Pu 3.29, 4 Nd 3.30
Hg 0.5000 0.5000 0.2986  8 Nd 3.32
Pu 0.0000 0.0000 0.0000  8 Hg 3.29

- ΔE_f (eV/atom) = -0.396
- theoretical density (g/cm³) = 10.85

[4]
Rb4Pm3HoSe8: optimized geometry, PBE.

Unit cell a=8.6368 b=9.4374 c=8.6366 alpha=117.24 beta=120.00 gamma=90.00
Last column: nearest neighbours and their distance in Å.
Atoms (fractional coordinates):
Rb 0.5000 0.0000 0.5000  6 Se 3.46
Rb 0.0000 0.0000 0.0000  6 Se 3.46
Rb 0.5000 0.0000 0.0000  6 Se 3.51
Rb 0.0000 0.0000 0.5000  6 Se 3.46
Se 0.7391 0.6978 0.9684  1 Ho 2.91, 2 Pm 2.97
Se 0.7336 0.7007 0.4671  3 Pm 2.97
Se 0.2609 0.3022 0.0316  1 Ho 2.91, 2 Pm 2.97
Se 0.2294 0.6978 0.4587  1 Ho 2.91, 2 Pm 2.98
Se 0.7706 0.3022 0.5413  1 Ho 2.91, 2 Pm 2.98
Se 0.7706 0.3022 0.0316  1 Ho 2.91, 2 Pm 2.97
Se 0.2664 0.2993 0.5329  3 Pm 2.97
Se 0.2294 0.6978 0.9684  1 Ho 2.91, 2 Pm 2.97
Ho 0.0000 0.5000 0.0000  6 Se 2.91
Pm 0.0000 0.5000 0.5000  6 Se 2.97-2.98
Pm 0.5000 0.5000 0.0000  6 Se 2.97
Pm 0.5000 0.5000 0.5000  6 Se 2.97-2.98

- uncorrected formation energy (eV/atom) = -1.736
- theoretical density (g/cm³) = 5.05

- theoretical density of number 3 (Nd4PuHg5)?
  10.85 g/cm³

- Which of these has the highest theoretical density?
  Nd4PuHg5